Material: AlRh
Method: DFT, GGA-PBE
State: relaxed Values from VASP.

Geometry as Quantum ESPRESSO input:
```
&SYSTEM
  ibrav = 0, nat = 12, ntyp = 2
/
ATOMIC_SPECIES
Al 26.98 Al.upf
Rh 102.91 Rh.upf
CELL_PARAMETERS angstrom
-3.537 -2.819 -5.310
4.153 -3.992 3.934
-3.466 -0.873 2.772
ATOMIC_POSITIONS angstrom
Al -1.641 -1.994 2.856
Al -1.209 -5.690 -1.460
Al 0.494 -5.001 4.576
Al -0.968 -1.912 0.033
Al -3.344 -2.683 -3.180
Al -1.882 -5.772 1.363
Rh -2.740 -3.314 1.066
Rh 1.636 -4.793 2.380
Rh -3.494 -5.389 -0.531
Rh -0.110 -4.370 0.330
Rh -4.486 -2.892 -0.984
Rh 0.644 -2.295 1.927
```

The formation energy comes out at -0.533 eV/atom. The calculation puts the total magnetization at 0.00 μB/atom. The crystal system is hexagonal.